First-principles (PBE) data for SrAlN2 after structural relaxation, as listed in Alexandria.

As for the formation energy (no corrections): -644 meV/atom. The value obtained for the total moment is 0.250 μB/atom. The density comes out at 3.7 g/cm3.

It has space group I-42d (No. 122), with a = 5.081 Å, b = 5.081 Å, c = 9.789 Å, α = 90.00°, β = 90.00° and γ = 90.00°. Symmetry generates all atoms from Sr at (0.000, 0.000, 0.000), Al at (0.000, 0.000, 0.500) and N at (0.132, 0.250, 0.625).